The following is a DFT calculation (GGA-PBE) of an optimized crystal structure of In4PdRh2.

Geometry as POSCAR:
```
In4PdRh2
1.0
-3.274 3.274 3.151
3.274 -3.274 3.151
3.274 3.274 -3.151
In Pd Rh
4 1 2
Cartesian
1.637 1.637 -1.575
1.637 -1.637 1.575
-1.637 1.637 1.575
1.637 1.637 1.575
0.000 0.000 0.000
3.274 0.000 0.000
0.000 3.274 0.000
```

Values from the calculation:
The density of states at the Fermi level comes out at 3.88 states/eV/f.u. The value obtained for the energy relative to the elements is -386 meV/atom. The total magnetization comes out at 0.0 Bohr magnetons per cell. As for the space group: I4/mmm, No. 139.



The following is a DFT calculation (GGA-PBE) of an optimized crystal structure of AlH2Cl.

Geometry as POSCAR:
```
AlH2Cl
1.0
0.000 2.802 2.802
2.802 0.000 2.802
2.802 2.802 0.000
Al H Cl
1 2 1
Cartesian
0.000 0.000 0.000
1.401 1.401 1.401
4.203 4.203 4.203
2.802 2.802 2.802
```

Values from the calculation:
The density of states at the Fermi level comes out at 1.71 states/eV/f.u. The total magnetization comes out at 0.0 Bohr magnetons per cell. As for the space group: Fm-3m, No. 225. As for the energy above the lowest structure with this stoichiometry: 1047 meV per atom.